1.
Below is an optimized crystal structure of LiTbAlCd, with properties calculated at the PBE level.

The structure in extended XYZ format:
```
4
Lattice="4.870 0.000 0.000 2.435 4.217 0.000 2.435 1.406 3.976" Properties=species:S:1:pos:R:3 pbc="T T T"
Li 4.870 2.811 1.988
Al 0.000 0.000 0.000
Tb 7.304 4.217 2.982
Cd 2.435 1.406 0.994
```

Output
Magnetic moment, μB per formula unit: 0.0
Theoretical density, g/cm3: 6.2
E_tot, eV/atom: -3.048

2.
Below is an optimized crystal structure of LiAl2CdTc, with properties calculated at the PBE level.

The structure in extended XYZ format:
```
5
Lattice="4.889 0.000 0.000 0.000 4.537 0.000 0.000 0.000 4.889" Properties=species:S:1:pos:R:3 pbc="T T T"
Al 0.000 0.000 2.445
Cd 0.000 0.000 0.000
Al 2.445 0.000 0.000
Li 0.000 2.268 0.000
Tc 2.445 2.268 2.445
```

Output
Magnetic moment, μB per formula unit: 3.0
Theoretical density, g/cm3: 4.2
E_tot, eV/atom: -3.024

3.
Below is an optimized crystal structure of LiAlCd2Te4, with properties calculated at the PBE level.

The structure in extended XYZ format:
```
8
Lattice="6.407 0.001 -0.004 -0.001 6.408 -0.004 -3.200 -3.202 6.454" Properties=species:S:1:pos:R:3 pbc="T T T"
Li 3.205 3.205 3.039
Te 4.852 1.753 1.399
Al 3.206 0.003 6.266
Cd 0.002 3.205 6.266
Te 1.556 4.657 1.401
Te 1.753 1.558 4.679
Te -1.749 -1.554 4.684
Cd 0.000 0.001 3.042
```

Output
Magnetic moment, μB per formula unit: 0.0
Theoretical density, g/cm3: 4.8
Uncorrected formation energy, eV/atom: -0.5835

4.
Below is an optimized crystal structure of LiThAlCd, with properties calculated at the PBE level.

The structure in extended XYZ format:
```
4
Lattice="5.112 0.000 0.000 2.556 4.427 0.000 2.556 1.476 4.174" Properties=species:S:1:pos:R:3 pbc="T T T"
Al 2.556 1.476 1.043
Th 5.112 2.951 2.087
Li 0.000 0.000 0.000
Cd 7.668 4.427 3.130
```

Output
Magnetic moment, μB per formula unit: 0.0
Theoretical density, g/cm3: 6.7
E_tot, eV/atom: -3.593

5.
Below is an optimized crystal structure of LiTiAlCd, with properties calculated at the PBE level.

The structure in extended XYZ format:
```
4
Lattice="-0.482 4.445 -1.130 -1.283 1.167 -4.273 -4.202 1.746 -0.750" Properties=species:S:1:pos:R:3 pbc="T T T"
Cd -2.984 3.679 -3.077
Al 0.000 0.000 0.000
Li -4.476 5.519 -4.615
Ti -1.492 1.840 -1.538
```

Output
Magnetic moment, μB per formula unit: 0.0
Theoretical density, g/cm3: 4.6
E_tot, eV/atom: -3.681

6.
Below is an optimized crystal structure of LiYAlCd, with properties calculated at the PBE level.

The structure in extended XYZ format:
```
4
Lattice="-0.374 -3.879 2.911 -2.501 -3.907 -1.464 2.347 -4.113 -1.115" Properties=species:S:1:pos:R:3 pbc="T T T"
Cd -0.132 -2.975 0.083
Al 0.000 0.000 0.000
Li -0.264 -5.950 0.166
Y -0.397 -8.925 0.250
```

Output
Magnetic moment, μB per formula unit: 0.0
Theoretical density, g/cm3: 4.8
E_tot, eV/atom: -3.512

7.
Below is an optimized crystal structure of LiAlZnCd, with properties calculated at the PBE level.

The structure in extended XYZ format:
```
4
Lattice="4.339 0.000 0.000 0.000 4.339 0.004 -2.169 -2.174 3.648" Properties=species:S:1:pos:R:3 pbc="T T T"
Cd 0.000 0.000 0.000
Al 0.000 2.168 1.827
Li 2.169 -0.003 1.825
Zn 0.000 -0.004 3.649
```

Output
Magnetic moment, μB per formula unit: 0.0
Theoretical density, g/cm3: 5.1
E_tot, eV/atom: -2.054

8.
Below is an optimized crystal structure of LiAlZnCd, with properties calculated at the PBE level.

The structure in extended XYZ format:
```
4
Lattice="4.596 0.000 0.000 2.298 3.980 0.000 2.298 1.327 3.753" Properties=species:S:1:pos:R:3 pbc="T T T"
Cd 6.894 3.980 2.815
Al 0.000 0.000 0.000
Zn 2.298 1.327 0.938
Li 4.596 2.654 1.876
```

Output
Magnetic moment, μB per formula unit: 0.0
Theoretical density, g/cm3: 5.1
E_tot, eV/atom: -2.041